Record 1
Here is a relaxed Ba2PtSe crystal from the Alexandria database. Energies are from GGA-PBEsol.

As for the calculated volume: 404.23 Å³/cell. For the theoretical density, the calculation gives 6.76 g/cm³. For the energy, the calculation gives -5.003 eV per atom. The uncorrected formation energy comes out at -1.225 eV/atom.

The space group is R-3m (No. 166, hexagonal axes) and the conventional cell measures 4.5631, 4.5631 and 22.4167 Å, with angles of 90.00, 90.00 and 120.00 degrees. The distinct sites, in fractional coordinates, are Ba at (0.0000, 0.0000, 0.2474), Pt at (0.0000, 0.0000, 0.5000) and Se at (0.0000, 0.0000, 0.0000).



Record 2
Here is a relaxed TlMo2Pb crystal from the Alexandria database. Energies are from GGA-PBEsol.

As for the calculated volume: 153.47 Å³/cell. The calculation puts the energy relative to the lowest polymorph listed for this composition at 1.24 kcal/mol of atoms. For the formation energy, the calculation gives 0.89 eV per atom. For the theoretical density, the calculation gives 13.06 g/cm³. For the energy, the calculation gives -6.648 eV per atom.

The space group is Cmmm (No. 65) and the conventional cell measures 3.341, 5.006 and 9.177 Å, with angles of 90.00, 90.00 and 90.00 degrees. The distinct sites, in fractional coordinates, are Tl at (0.000, 0.000, 0.000), Mo at (0.000, 0.500, 0.251) and Pb at (0.000, 0.000, 0.500).



Record 3
Here is a relaxed La2IrRu crystal from the Alexandria database. Energies are from GGA-PBEsol.

As for the calculated volume: 176.81 Å³/cell. For the formation energy, the calculation gives -0.16 eV per atom. For the theoretical density, the calculation gives 10.73 g/cm³. For the energy, the calculation gives -7.837 eV per atom.

The space group is Imm2 (No. 44) and the conventional cell measures 3.261, 4.631 and 11.707 Å, with angles of 90.00, 90.00 and 90.00 degrees. The distinct sites, in fractional coordinates, are La at (0.000, 0.000, 0.000), La at (0.000, 0.500, 0.213), Ir at (0.000, 0.000, 0.439) and Ru at (0.000, 0.500, 0.763).



Record 4
Here is a relaxed Be3SN crystal from the Alexandria database. Energies are from GGA-PBEsol.

As for the calculated volume: 57.03 Å³/cell. For the theoretical density, the calculation gives 2.13 g/cm³. For the energy, the calculation gives -3.752 eV per atom. The uncorrected formation energy comes out at 1.230 eV/atom.

The space group is Pm-3m (No. 221) and the conventional cell measures 3.849, 3.849 and 3.849 Å, with angles of 90.00, 90.00 and 90.00 degrees. The distinct sites, in fractional coordinates, are Be at (0.000, 0.000, 0.500), S at (0.000, 0.000, 0.000) and N at (0.500, 0.500, 0.500).



Record 5
Here is a relaxed TlP crystal from the Alexandria database. Energies are from GGA-PBEsol.

As for the calculated volume: 186.33 Å³/cell. For the formation energy, the calculation gives 0.09 eV per atom. For the theoretical density, the calculation gives 8.39 g/cm³. For the energy, the calculation gives -4.124 eV per atom.

The space group is C2/m (No. 12) and the conventional cell measures 11.031, 3.269 and 6.129 Å, with angles of 90.00, 122.52 and 90.00 degrees. The distinct sites, in fractional coordinates, are Tl at (0.075, 0.000, 0.316) and P at (0.210, 0.500, 0.858).



Record 6
Here is a relaxed LiGaCo3 crystal from the Alexandria database. Energies are from GGA-PBEsol.

As for the calculated volume: 56.18 Å³/cell. For the formation energy, the calculation gives 0.83 eV per atom. For the theoretical density, the calculation gives 7.49 g/cm³. For the energy, the calculation gives -4.873 eV per atom.

The space group is Pm-3m (No. 221) and the conventional cell measures 3.830, 3.830 and 3.830 Å, with angles of 90.00, 90.00 and 90.00 degrees. The distinct sites, in fractional coordinates, are Li at (0.000, 0.000, 0.000), Ga at (0.500, 0.500, 0.500) and Co at (0.000, 0.000, 0.500).



Copy entry 4 word for word.
Here is a relaxed Be3SN crystal from the Alexandria database. Energies are from GGA-PBEsol.

As for the calculated volume: 57.03 Å³/cell. For the theoretical density, the calculation gives 2.13 g/cm³. For the energy, the calculation gives -3.752 eV per atom. The uncorrected formation energy comes out at 1.230 eV/atom.

The space group is Pm-3m (No. 221) and the conventional cell measures 3.849, 3.849 and 3.849 Å, with angles of 90.00, 90.00 and 90.00 degrees. The distinct sites, in fractional coordinates, are Be at (0.000, 0.000, 0.500), S at (0.000, 0.000, 0.000) and N at (0.500, 0.500, 0.500).



Which of these has the lowest theoretical density? Be3SN



Look up the calculated volume of the fourth one. 57.03 Å³/cell



Which formula does entry 3 have? La2IrRu